A geometry-optimized CeSm2Pu structure. Source: the Alexandria database, functional PBE.

It has space group R-3m (No. 166, hexagonal axes), with a = 3.4551 Å, b = 3.4551 Å, c = 36.6543 Å, α = 90.00°, β = 90.00° and γ = 120.00°. The asymmetric unit holds Ce at (0.0000, 0.0000, 0.0000), Sm at (0.0000, 0.0000, 0.4104) and Pu at (0.0000, 0.0000, 0.5000).

The volume is 31.6 Å³ per atom. As for the crystal system: trigonal. The energy relative to the lowest polymorph listed for this composition comes out at 0.124 eV per atom. The value obtained for the total DFT energy (no corrections) is -28.6 eV per formula unit.